[1]
# Ti5Re4Ni

Crystalline Ti5Re4Ni at its relaxed geometry (PBE-GGA, Alexandria via LeMat-Bulk).

It has space group P4/mmm (No. 123), with a = 3.1207 Å, b = 3.1207 Å, c = 15.3687 Å, α = 90.00°, β = 90.00° and γ = 90.00°. The distinct sites, in fractional coordinates, are Ti at (0.0000, 0.0000, 0.0000), Ti at (0.0000, 0.0000, 0.2033), Ti at (0.0000, 0.0000, 0.4015), Re at (0.5000, 0.5000, 0.1014), Re at (0.5000, 0.5000, 0.3066) and Ni at (0.5000, 0.5000, 0.5000).

=====

[2]
# Ti3ReNi

Crystalline Ti3ReNi at its relaxed geometry (PBE-GGA, Alexandria via LeMat-Bulk).

The value obtained for the energy above the most stable polymorph in this dataset is 0.2729 eV/atom.

It has space group Pm-3m (No. 221), with a = 4.7093 Å, b = 4.7093 Å, c = 4.7093 Å, α = 90.00°, β = 90.00° and γ = 90.00°. The distinct sites, in fractional coordinates, are Ti at (0.0000, 0.0000, 0.5000), Re at (0.0000, 0.0000, 0.0000) and Ni at (0.5000, 0.5000, 0.5000).

=====

[3]
# TiVReNi

Crystalline TiVReNi at its relaxed geometry (PBE-GGA, Alexandria via LeMat-Bulk).

It has space group F-43m (No. 216), with a = 6.0477 Å, b = 6.0477 Å, c = 6.0477 Å, α = 90.00°, β = 90.00° and γ = 90.00°. The distinct sites, in fractional coordinates, are Ti at (0.0000, 0.0000, 0.0000), V at (0.0000, 0.0000, 0.5000), Re at (0.2500, 0.2500, 0.7500) and Ni at (0.2500, 0.2500, 0.2500).

=====

[4]
# TlReNi2

Crystalline TlReNi2 at its relaxed geometry (PBE-GGA, Alexandria via LeMat-Bulk).

The value obtained for the energy above the most stable polymorph in this dataset is 0.1674 eV/atom.

It has space group R-3m (No. 166, hexagonal axes), with a = 2.8639 Å, b = 2.8639 Å, c = 25.7159 Å, α = 90.00°, β = 90.00° and γ = 120.00°. The distinct sites, in fractional coordinates, are Tl at (0.0000, 0.0000, 0.0000), Re at (0.0000, 0.0000, 0.5000) and Ni at (0.0000, 0.0000, 0.2437).

=====

[5]
# Tl2ReNi

Crystalline Tl2ReNi at its relaxed geometry (PBE-GGA, Alexandria via LeMat-Bulk).

The value obtained for the energy above the most stable polymorph in this dataset is 0.4366 eV/atom.

It has space group Pmmm (No. 47), with a = 3.0623 Å, b = 4.6055 Å, c = 5.3433 Å, α = 90.00°, β = 90.00° and γ = 90.00°. The distinct sites, in fractional coordinates, are Tl at (0.0000, 0.0000, 0.0000), Tl at (0.5000, 0.0000, 0.5000), Re at (0.0000, 0.5000, 0.5000) and Ni at (0.5000, 0.5000, 0.0000).

=====

[6]
# TlReNi2

Crystalline TlReNi2 at its relaxed geometry (PBE-GGA, Alexandria via LeMat-Bulk).

The value obtained for the energy above the most stable polymorph in this dataset is 0.2043 eV/atom.

It has space group Cmmm (No. 65), with a = 5.7899 Å, b = 7.2582 Å, c = 2.7748 Å, α = 90.00°, β = 90.00° and γ = 90.00°. The distinct sites, in fractional coordinates, are Tl at (0.0000, 0.0000, 0.0000), Re at (0.0000, 0.5000, 0.0000) and Ni at (0.2500, 0.2500, 0.5000).

=====

no.,spin magnetization (μB/f.u.),formation energy from the elements (eV/atom)
1,0.00,-0.416
2,0.02,0.898
3,0.00,-0.279
4,0.00,0.488
5,0.00,0.988
6,0.00,0.525